{"formula": "Mn4Ge2C", "functional": "PBE-GGA", "state": "optimized geometry", "lattice_angstrom": [[-1.8896, 1.8896, 6.3445], [1.8896, -1.8896, 6.3445], [1.8896, 1.8896, -6.3445]], "species": ["Mn", "Mn", "Mn", "Mn", "Ge", "Ge", "C"], "frac_coords": [[0.0000, 0.5000, 0.5000], [0.1631, 0.1631, 0.0000], [0.5000, 0.0000, 0.5000], [0.8369, 0.8369, 0.0000], [0.3585, 0.3585, 0.0000], [0.6415, 0.6415, 0.0000], [0.0000, 0.0000, 0.0000]], "sg": "No. 139", "magmom_total_mub_per_fu": 8.8, "n_ef_per_ev_cell": 5.260, "formation_enthalpy_0k_mev_per_atom": -2}